[1]
# AgTeAu | Alexandria | GGA-PBE | optimized geometry
# - Calculated total energy: -3.157 eV per atom
data_AgTeAu
_chemical_formula_sum 'Ag4 Te4 Au4'
_space_group_name_H-M_alt 'P 1 21/c 1'
_space_group_IT_number 14
_cell_length_a 5.5634
_cell_length_b 7.2140
_cell_length_c 7.8068
_cell_angle_alpha 90.00
_cell_angle_beta 98.50
_cell_angle_gamma 90.00
loop_
_space_group_symop_operation_xyz
'x,y,z'
'-x,-y,-z'
'-x,y+1/2,-z+1/2'
'x,-y+1/2,z+1/2'
loop_
_atom_site_label
_atom_site_type_symbol
_atom_site_fract_x
_atom_site_fract_y
_atom_site_fract_z
Ag1 Ag 0.2403 0.0047 0.4494
Te1 Te 0.1748 0.0080 0.8117
Au1 Au 0.4991 0.7452 0.2565

=====

[2]
# ReAg2W | Alexandria | GGA-PBE | optimized geometry
# - Formation energy: 11.345 eV per formula unit
# - Calculated total energy: -4.940 eV per atom
# - Distance to the lowest polymorph of the same formula: 2479 meV per atom
data_ReAg2W
_chemical_formula_sum 'Re4 Ag8 W4'
_space_group_name_H-M_alt 'I -4 2 d'
_space_group_IT_number 122
_space_group_name_Hall 'I -4 2bw'
_cell_length_a 5.8254
_cell_length_b 5.8254
_cell_length_c 11.4709
_cell_angle_alpha 90.00
_cell_angle_beta 90.00
_cell_angle_gamma 90.00
loop_
_atom_site_label
_atom_site_type_symbol
_atom_site_fract_x
_atom_site_fract_y
_atom_site_fract_z
Re1 Re 0.0000 0.0000 0.0000
Ag1 Ag 0.2460 0.2500 0.1250
W1 W 0.0000 0.0000 0.5000

=====

Computed mass density (Mg/m³) in order:
9.3, 10.0